DFT (PBE) results for a relaxed YTa crystal.

Relative energy among the computed polymorphs = 737 meV/atom
Symmetry = I4/m (87)
DFT formation energy = 919 meV per atom
DOS(E_F) = 1.122 states/eV per atom

a b c (Å): 12.746 12.746 3.114
angles (deg): 90.00 90.00 90.00
Fractional positions:
Y  0.445  0.832  0.000
Y  0.555  0.168  0.000
Y  0.168  0.445  0.000
Y  0.832  0.555  0.000
Y  0.945  0.332  0.500
Y  0.055  0.668  0.500
Y  0.668  0.945  0.500
Y  0.332  0.055  0.500
Ta  0.335  0.270  0.000
Ta  0.665  0.730  0.000
Ta  0.730  0.335  0.000
Ta  0.270  0.665  0.000
Ta  0.835  0.770  0.500
Ta  0.165  0.230  0.500
Ta  0.230  0.835  0.500
Ta  0.770  0.165  0.500